[1]
The following is a PBE calculation of a geometry-optimized TaCo4Ge structure, from the Alexandria database. Values from VASP.

Cell and atoms, written as Quantum ESPRESSO input:
```
&SYSTEM
  ibrav = 0, nat = 6, ntyp = 3
/
ATOMIC_SPECIES
Ta 180.95 Ta.upf
Co 58.93 Co.upf
Ge 72.64 Ge.upf
CELL_PARAMETERS angstrom
0.000 3.330 3.330
3.330 0.000 3.330
3.330 3.330 0.000
ATOMIC_POSITIONS angstrom
Ta 0.000 0.000 0.000
Co 2.500 2.500 2.500
Co 4.161 4.161 2.500
Co 4.161 2.500 4.161
Co 2.500 4.161 4.161
Ge 4.995 4.995 4.995
```

## Properties
The calculation puts the total energy at -7.538 eV per atom. For the energy of formation, the calculation gives -56 meV per atom.

***

[2]
The following is a PBE calculation of a geometry-optimized ScTa2Os structure, from the Alexandria database. Values from VASP.

Cell and atoms, written as Quantum ESPRESSO input:
```
&SYSTEM
  ibrav = 0, nat = 8, ntyp = 3
/
ATOMIC_SPECIES
Sc 44.96 Sc.upf
Ta 180.95 Ta.upf
Os 190.23 Os.upf
CELL_PARAMETERS angstrom
3.870 0.000 0.000
0.000 3.870 0.000
0.000 0.000 9.470
ATOMIC_POSITIONS angstrom
Sc 0.000 0.000 0.000
Sc 1.935 1.935 4.735
Ta 0.000 1.935 2.368
Ta 0.000 1.935 7.103
Ta 1.935 0.000 2.368
Ta 1.935 0.000 7.103
Os 0.000 0.000 4.735
Os 1.935 1.935 0.000
```

## Properties
The calculation puts the total energy at -10.262 eV per atom. For the energy of formation, the calculation gives 55 meV per atom.

***

[3]
The following is a PBE calculation of a geometry-optimized BAsW3 structure, from the Alexandria database. Values from VASP.

Cell and atoms, written as Quantum ESPRESSO input:
```
&SYSTEM
  ibrav = 0, nat = 5, ntyp = 3
/
ATOMIC_SPECIES
B 10.81 B.upf
As 74.92 As.upf
W 183.84 W.upf
CELL_PARAMETERS angstrom
4.220 0.000 0.000
0.000 4.220 0.000
0.000 0.000 4.220
ATOMIC_POSITIONS angstrom
B 0.000 0.000 0.000
As 2.110 2.110 2.110
W 0.000 0.000 2.110
W 0.000 2.110 0.000
W 2.110 0.000 0.000
```

## Properties
The calculation puts the total energy at -9.395 eV per atom. For the energy of formation, the calculation gives 643 meV per atom. The energy relative to the lowest polymorph listed for this composition is 0.0 meV/atom.

***

[4]
The following is a PBE calculation of a geometry-optimized KNaGePb structure, from the Alexandria database. Values from VASP.

Cell and atoms, written as Quantum ESPRESSO input:
```
&SYSTEM
  ibrav = 0, nat = 16, ntyp = 4
/
ATOMIC_SPECIES
K 39.10 K.upf
Na 22.99 Na.upf
Ge 72.64 Ge.upf
Pb 207.20 Pb.upf
CELL_PARAMETERS angstrom
7.745 0.000 0.000
0.000 7.745 0.000
0.000 0.000 7.745
ATOMIC_POSITIONS angstrom
K 0.000 0.000 0.000
K 0.000 3.873 3.873
K 3.873 0.000 3.873
K 3.873 3.873 0.000
Na 1.936 1.936 5.809
Na 1.936 5.809 1.936
Na 5.809 1.936 1.936
Na 5.809 5.809 5.809
Ge 1.936 1.936 1.936
Ge 1.936 5.809 5.809
Ge 5.809 1.936 5.809
Ge 5.809 5.809 1.936
Pb 0.000 0.000 3.873
Pb 0.000 3.873 0.000
Pb 3.873 0.000 0.000
Pb 3.873 3.873 3.873
```

## Properties
The calculation puts the total energy at -2.674 eV per atom. For the energy of formation, the calculation gives 11 meV per atom.

***

[5]
The following is a PBE calculation of a geometry-optimized ZrSb2PbI structure, from the Alexandria database. Values from VASP.

Cell and atoms, written as Quantum ESPRESSO input:
```
&SYSTEM
  ibrav = 0, nat = 5, ntyp = 4
/
ATOMIC_SPECIES
Zr 91.22 Zr.upf
Sb 121.76 Sb.upf
Pb 207.20 Pb.upf
I 126.90 I.upf
CELL_PARAMETERS angstrom
5.638 0.000 0.000
0.000 5.638 0.000
0.000 0.000 5.651
ATOMIC_POSITIONS angstrom
Zr 0.000 0.000 0.000
Sb 0.000 2.819 0.000
Sb 2.819 0.000 0.000
Pb 2.819 2.819 2.826
I 0.000 0.000 2.826
```

## Properties
The calculation puts the total energy at -4.321 eV per atom. The calculation puts the uncorrected formation energy at 90 meV per atom. The energy relative to the lowest polymorph listed for this composition is 0.0 meV/atom.

***

[6]
The following is a PBE calculation of a geometry-optimized HfTi2Os structure, from the Alexandria database. Values from VASP.

Cell and atoms, written as Quantum ESPRESSO input:
```
&SYSTEM
  ibrav = 0, nat = 16, ntyp = 3
/
ATOMIC_SPECIES
Hf 178.49 Hf.upf
Ti 47.87 Ti.upf
Os 190.23 Os.upf
CELL_PARAMETERS angstrom
6.423 0.000 0.000
0.000 6.423 0.000
0.000 0.000 6.423
ATOMIC_POSITIONS angstrom
Hf 0.000 0.000 0.000
Hf 0.000 3.212 3.212
Hf 3.212 0.000 3.212
Hf 3.212 3.212 0.000
Ti 1.606 1.606 1.606
Ti 1.606 1.606 4.817
Ti 1.606 4.817 1.606
Ti 1.606 4.817 4.817
Ti 4.817 1.606 1.606
Ti 4.817 1.606 4.817
Ti 4.817 4.817 1.606
Ti 4.817 4.817 4.817
Os 0.000 0.000 3.212
Os 0.000 3.212 0.000
Os 3.212 0.000 0.000
Os 3.212 3.212 3.212
```

## Properties
The calculation puts the total energy at -9.453 eV per atom. For the energy of formation, the calculation gives -210 meV per atom. The energy relative to the lowest polymorph listed for this composition is 190.9 meV/atom.

***

[7]
The following is a PBE calculation of a geometry-optimized Y2FeRu structure, from the Alexandria database. Values from VASP.

Cell and atoms, written as Quantum ESPRESSO input:
```
&SYSTEM
  ibrav = 0, nat = 16, ntyp = 3
/
ATOMIC_SPECIES
Y 88.91 Y.upf
Fe 55.84 Fe.upf
Ru 101.07 Ru.upf
CELL_PARAMETERS angstrom
7.470 0.000 0.000
0.000 7.470 0.000
0.000 0.000 6.151
ATOMIC_POSITIONS angstrom
Y 1.786 1.868 0.769
Y 1.868 5.521 2.307
Y 1.868 5.684 5.382
Y 1.949 1.868 3.844
Y 5.521 5.603 3.844
Y 5.603 1.786 5.382
Y 5.603 1.949 2.307
Y 5.684 5.603 0.769
Fe 0.000 0.000 3.075
Fe 0.000 3.735 4.613
Fe 3.735 0.000 1.538
Fe 3.735 3.735 0.000
Ru 0.000 0.000 0.000
Ru 0.000 3.735 1.538
Ru 3.735 0.000 4.613
Ru 3.735 3.735 3.075
```

## Properties
The calculation puts the total energy at -7.286 eV per atom. For the energy of formation, the calculation gives 380 meV per atom.

***

[8]
The following is a PBE calculation of a geometry-optimized K2ReO structure, from the Alexandria database. Values from VASP.

Cell and atoms, written as Quantum ESPRESSO input:
```
&SYSTEM
  ibrav = 0, nat = 16, ntyp = 3
/
ATOMIC_SPECIES
K 39.10 K.upf
Re 186.21 Re.upf
O 16.00 O.upf
CELL_PARAMETERS angstrom
11.764 0.000 0.000
0.000 11.764 0.000
0.000 0.000 3.770
ATOMIC_POSITIONS angstrom
K 0.585 2.941 0.471
K 2.941 6.467 1.414
K 2.941 11.179 3.299
K 5.297 2.941 2.356
K 6.467 8.823 2.356
K 8.823 0.585 3.299
K 8.823 5.297 1.414
K 11.179 8.823 0.471
Re 0.000 0.000 1.885
Re 0.000 5.882 2.828
Re 5.882 0.000 0.943
Re 5.882 5.882 0.000
O 0.000 0.000 0.000
O 0.000 5.882 0.943
O 5.882 0.000 2.828
O 5.882 5.882 1.885
```

## Properties
The calculation puts the total energy at -4.913 eV per atom. The calculation puts the uncorrected formation energy at -13 meV per atom.

***

[9]
The following is a PBE calculation of a geometry-optimized PmMoN4 structure, from the Alexandria database. Values from VASP.

Cell and atoms, written as Quantum ESPRESSO input:
```
&SYSTEM
  ibrav = 0, nat = 6, ntyp = 3
/
ATOMIC_SPECIES
Pm 145.00 Pm.upf
Mo 95.94 Mo.upf
N 14.01 N.upf
CELL_PARAMETERS angstrom
3.513 0.000 0.000
0.000 3.513 0.000
0.000 0.000 5.922
ATOMIC_POSITIONS angstrom
Pm 0.000 0.000 0.000
Mo 1.757 1.757 2.961
N 0.000 1.757 1.718
N 0.000 1.757 4.204
N 1.757 0.000 1.718
N 1.757 0.000 4.204
```

## Properties
The calculation puts the total energy at -7.761 eV per atom. The calculation puts the uncorrected formation energy at 386 meV per atom.

***

[10]
The following is a PBE calculation of a geometry-optimized SiBRhAuCS structure, from the Alexandria database. Values from VASP.

Cell and atoms, written as Quantum ESPRESSO input:
```
&SYSTEM
  ibrav = 0, nat = 6, ntyp = 6
/
ATOMIC_SPECIES
Si 28.09 Si.upf
B 10.81 B.upf
Rh 102.91 Rh.upf
Au 196.97 Au.upf
C 12.01 C.upf
S 32.06 S.upf
CELL_PARAMETERS angstrom
4.457 0.000 0.000
-0.015 4.512 0.000
-0.323 -1.563 4.763
ATOMIC_POSITIONS angstrom
Si 0.000 0.000 0.000
B 0.674 1.125 4.570
Rh 0.793 1.952 2.724
Au 2.464 0.078 1.424
C 1.025 1.443 0.592
S 3.023 2.740 2.836
```

## Properties
The calculation puts the total energy at -5.712 eV per atom. The calculation puts the uncorrected formation energy at 302 meV per atom. The energy relative to the lowest polymorph listed for this composition is 122.9 meV/atom.

***

[11]
The following is a PBE calculation of a geometry-optimized Al2V2Zn structure, from the Alexandria database. Values from VASP.

Cell and atoms, written as Quantum ESPRESSO input:
```
&SYSTEM
  ibrav = 0, nat = 10, ntyp = 3
/
ATOMIC_SPECIES
Al 26.98 Al.upf
V 50.94 V.upf
Zn 65.41 Zn.upf
CELL_PARAMETERS angstrom
3.441 0.000 0.000
0.000 3.441 0.000
0.000 0.000 13.723
ATOMIC_POSITIONS angstrom
Al 0.000 0.000 1.333
Al 0.000 0.000 12.390
Al 1.720 1.720 5.529
Al 1.720 1.720 8.194
V 0.000 1.720 3.431
V 0.000 1.720 10.292
V 1.720 0.000 3.431
V 1.720 0.000 10.292
Zn 0.000 0.000 6.862
Zn 1.720 1.720 0.000
```

## Properties
The calculation puts the total energy at -5.052 eV per atom. For the energy of formation, the calculation gives 348 meV per atom. The energy relative to the lowest polymorph listed for this composition is 274.9 meV/atom.

***

[12]
The following is a PBE calculation of a geometry-optimized NiPdSe2N structure, from the Alexandria database. Values from VASP.

Cell and atoms, written as Quantum ESPRESSO input:
```
&SYSTEM
  ibrav = 0, nat = 5, ntyp = 4
/
ATOMIC_SPECIES
Ni 58.69 Ni.upf
Pd 106.42 Pd.upf
Se 78.96 Se.upf
N 14.01 N.upf
CELL_PARAMETERS angstrom
4.953 0.000 0.000
0.000 4.953 0.000
0.000 0.000 3.337
ATOMIC_POSITIONS angstrom
Ni 0.000 0.000 0.000
Pd 2.477 2.477 1.669
Se 0.000 2.477 0.000
Se 2.477 0.000 0.000
N 0.000 0.000 1.669
```

## Properties
The calculation puts the total energy at -4.733 eV per atom. The calculation puts the uncorrected formation energy at 521 meV per atom. The energy relative to the lowest polymorph listed for this composition is 0.0 meV/atom.

***

[13]
The following is a PBE calculation of a geometry-optimized ReTe2Rh structure, from the Alexandria database. Values from VASP.

Cell and atoms, written as Quantum ESPRESSO input:
```
&SYSTEM
  ibrav = 0, nat = 8, ntyp = 3
/
ATOMIC_SPECIES
Re 186.21 Re.upf
Te 127.60 Te.upf
Rh 102.91 Rh.upf
CELL_PARAMETERS angstrom
8.356 0.000 0.000
0.000 3.322 0.000
-1.222 0.000 5.517
ATOMIC_POSITIONS angstrom
Re 0.000 0.000 0.000
Re 4.178 1.661 0.000
Te 1.721 1.661 1.347
Te 1.235 0.000 4.170
Te 5.898 0.000 1.347
Te 5.413 1.661 4.170
Rh -0.611 1.661 2.758
Rh 3.567 0.000 2.758
```

## Properties
The calculation puts the total energy at -6.095 eV per atom. The calculation puts the uncorrected formation energy at 426 meV per atom. The energy relative to the lowest polymorph listed for this composition is 247.6 meV/atom.